1.
Computed, not measured: a geometry-optimized TaMnH4 structure at the PBE level of DFT.

Geometry as extended XYZ:
```
6
Lattice="3.032 0.000 0.000 0.000 3.032 0.000 0.000 0.000 4.348" Properties=species:S:1:pos:R:3 pbc="T T T"
Ta 0.000 0.000 0.000
Mn 1.516 1.516 2.174
H 0.000 1.516 1.249
H 0.000 1.516 3.099
H 1.516 0.000 1.249
H 1.516 0.000 3.099
```

Calculated values
The uncorrected energy comes out at -5.7830 eV per atom. For the distance to the lowest polymorph of the same formula, the calculation gives 0 meV per atom. The calculation puts the density of states at the Fermi level at 2.7 states/eV/f.u.

---

2.
Computed, not measured: a geometry-optimized TaMn2H structure at the PBE level of DFT.

Geometry as extended XYZ:
```
8
Lattice="-2.490 2.490 3.518 2.490 -2.490 3.518 2.490 2.490 -3.518" Properties=species:S:1:pos:R:3 pbc="T T T"
Ta 2.490 1.245 0.880
Ta 0.000 1.245 2.639
Mn 0.000 0.000 0.000
Mn 1.245 1.245 -1.759
Mn 1.245 -1.245 1.759
Mn 0.000 2.490 0.000
H 2.490 -1.245 2.639
H 0.000 3.735 0.880
```

Calculated values
The uncorrected energy comes out at -8.2921 eV per atom. For the distance to the lowest polymorph of the same formula, the calculation gives 0 meV per atom. The calculation puts the density of states at the Fermi level at 2.7 states/eV/f.u.

---

3.
Computed, not measured: a geometry-optimized TaMn2H structure at the PBE level of DFT.

Geometry as extended XYZ:
```
4
Lattice="0.000 2.909 2.909 2.909 0.000 2.909 2.909 2.909 0.000" Properties=species:S:1:pos:R:3 pbc="T T T"
Ta 0.000 0.000 0.000
Mn 1.455 1.455 1.455
Mn 4.364 4.364 4.364
H 2.909 2.909 2.909
```

Calculated values
The uncorrected energy comes out at -7.6519 eV per atom. For the distance to the lowest polymorph of the same formula, the calculation gives 640 meV per atom. The calculation puts the density of states at the Fermi level at 3.7 states/eV/f.u.

---

4.
Computed, not measured: a geometry-optimized Ta3MnH4 structure at the PBE level of DFT.

Geometry as extended XYZ:
```
16
Lattice="5.725 0.000 0.000 0.000 5.322 0.000 0.000 0.000 5.236" Properties=species:S:1:pos:R:3 pbc="T T T"
Ta 0.000 0.853 0.000
Ta 1.412 1.836 2.643
Ta 1.451 3.486 0.025
Ta 2.862 4.469 2.618
Ta 4.274 3.486 0.025
Ta 4.313 1.836 2.643
Mn 0.000 4.466 2.606
Mn 2.862 0.855 5.224
H 0.000 0.719 3.348
H 0.000 4.457 0.898
H 1.329 3.619 3.366
H 1.533 1.703 0.748
H 2.862 0.865 3.516
H 2.862 4.603 0.730
H 4.192 1.703 0.748
H 4.396 3.619 3.366
```

Calculated values
The uncorrected energy comes out at -7.2545 eV per atom. The calculation puts the density of states at the Fermi level at 3.2 states/eV/f.u.

---

5.
Computed, not measured: a geometry-optimized TaMn2H2 structure at the PBE level of DFT.

Geometry as extended XYZ:
```
5
Lattice="-1.599 1.599 4.537 1.599 -1.599 4.537 1.599 1.599 -4.537" Properties=species:S:1:pos:R:3 pbc="T T T"
Ta 0.000 0.000 0.000
Mn 0.000 0.000 3.106
Mn 0.000 0.000 5.967
H 1.599 0.000 2.268
H 0.000 1.599 2.268
```

Calculated values
The uncorrected energy comes out at -7.4137 eV per atom. The calculation puts the density of states at the Fermi level at 1.4 states/eV/f.u.

---

6.
Computed, not measured: a geometry-optimized Ta3Mn5H12 structure at the PBE level of DFT.

Geometry as extended XYZ:
```
80
Lattice="-5.357 5.357 5.357 5.357 -5.357 5.357 5.357 5.357 -5.357" Properties=species:S:1:pos:R:3 pbc="T T T"
Ta 2.678 1.339 0.000
Ta 5.357 2.678 -1.339
Ta 1.339 0.000 2.678
Ta 6.696 0.000 2.678
Ta 0.000 2.678 1.339
Ta 2.678 -1.339 5.357
Ta 2.678 6.696 0.000
Ta 5.357 2.678 4.018
Ta -1.339 5.357 2.678
Ta 4.018 5.357 2.678
Ta 0.000 2.678 6.696
Ta 2.678 4.018 5.357
Mn 0.000 0.000 0.000
Mn 2.678 2.678 -2.678
Mn 2.678 -2.678 2.678
Mn 5.357 0.000 0.000
Mn 8.035 1.339 0.000
Mn 5.357 -2.678 4.018
Mn 4.018 5.357 -2.678
Mn 4.018 0.000 2.678
Mn 2.678 4.018 0.000
Mn 5.357 2.678 1.339
Mn -2.678 2.678 2.678
Mn 0.000 5.357 0.000
Mn 0.000 0.000 5.357
Mn 2.678 2.678 2.678
Mn 0.000 2.678 4.018
Mn 2.678 1.339 5.357
Mn 1.339 5.357 2.678
Mn 1.339 0.000 8.035
Mn 0.000 8.035 1.339
Mn -2.678 4.018 5.357
H 1.601 -0.165 0.710
H 6.434 3.388 -2.843
H 6.958 0.165 0.710
H 6.434 -1.969 2.843
H 5.192 -0.710 1.601
H 8.200 -1.077 1.969
H 0.710 1.601 -0.165
H 7.326 2.513 -1.077
H 3.388 2.843 -1.077
H 4.647 1.601 0.165
H -0.165 0.710 1.601
H 2.843 -1.077 3.388
H 5.192 4.647 -1.601
H 2.843 1.077 1.969
H 3.388 -2.843 6.434
H 4.647 -1.601 5.192
H 1.969 2.843 1.077
H 6.066 3.756 0.165
H 2.843 6.434 -1.969
H 5.192 0.710 3.756
H 1.601 5.192 -0.710
H 6.434 1.969 2.513
H 1.077 1.969 2.843
H 1.601 0.165 4.647
H 3.756 5.192 0.710
H 4.280 3.388 2.513
H -1.077 3.388 2.843
H 3.756 0.165 6.066
H 0.165 4.647 1.601
H 2.513 -1.077 7.326
H -0.710 1.601 5.192
H 3.388 2.513 4.280
H 0.710 6.958 0.165
H 1.969 8.200 -1.077
H 2.513 4.280 3.388
H 0.165 0.710 6.958
H 2.513 6.434 1.969
H 5.522 4.647 3.756
H 0.710 3.756 5.192
H 1.969 2.513 6.434
H -1.969 2.843 6.434
H 4.647 3.756 5.522
H -2.843 6.434 3.388
H 0.165 6.066 3.756
H -1.077 7.326 2.513
H -1.601 5.192 4.647
H -1.077 1.969 8.200
H 3.756 5.522 4.647
```

Calculated values
The uncorrected energy comes out at -6.0852 eV per atom. The calculation puts the density of states at the Fermi level at 4.5 states/eV/f.u.

---

7.
Computed, not measured: a geometry-optimized Ta2MnH2 structure at the PBE level of DFT.

Geometry as extended XYZ:
```
10
Lattice="4.791 0.000 0.000 -2.248 4.765 0.000 -1.848 -1.546 4.705" Properties=species:S:1:pos:R:3 pbc="T T T"
Ta -0.967 1.542 1.266
Ta -0.669 -0.104 3.600
Ta 1.363 3.322 1.104
Ta 1.662 1.677 3.439
Mn 1.231 0.010 1.168
Mn -0.536 3.208 3.537
H -2.002 3.060 2.459
H -1.820 1.006 4.672
H 2.515 2.212 0.033
H 2.697 0.158 2.246
```

Calculated values
The uncorrected energy comes out at -7.9285 eV per atom. For the distance to the lowest polymorph of the same formula, the calculation gives 154 meV per atom. The calculation puts the density of states at the Fermi level at 2.9 states/eV/f.u.

---

8.
Computed, not measured: a geometry-optimized Ta2MnH4 structure at the PBE level of DFT.

Geometry as extended XYZ:
```
14
Lattice="0.000 4.060 4.075 4.031 0.000 4.075 4.031 4.060 0.000" Properties=species:S:1:pos:R:3 pbc="T T T"
Ta 0.000 0.000 0.000
Ta 2.015 2.030 0.000
Ta 2.015 0.000 2.037
Ta 0.000 2.030 2.037
Mn 3.023 3.045 3.056
Mn 5.038 5.076 5.093
H 6.077 4.014 4.020
H 1.984 1.984 1.983
H 4.062 4.107 1.983
H 4.062 1.984 4.129
H 3.999 6.137 4.020
H 3.999 4.014 6.166
H 6.077 6.137 6.166
H 1.984 4.107 4.129
```

Calculated values
The uncorrected energy comes out at -6.5615 eV per atom. The calculation puts the density of states at the Fermi level at 2.0 states/eV/f.u.

---

9.
Computed, not measured: a geometry-optimized Ta2MnH4 structure at the PBE level of DFT.

Geometry as extended XYZ:
```
7
Lattice="-1.602 1.602 5.503 1.602 -1.602 5.503 1.602 1.602 -5.503" Properties=species:S:1:pos:R:3 pbc="T T T"
Ta 0.000 0.000 1.701
Ta 0.000 0.000 9.306
Mn 0.000 0.000 5.503
H 1.602 0.000 0.000
H 0.000 0.000 3.734
H 0.000 1.602 0.000
H 0.000 0.000 7.273
```

Calculated values
The uncorrected energy comes out at -6.5628 eV per atom. The calculation puts the density of states at the Fermi level at 3.5 states/eV/f.u.

---

10.
Computed, not measured: a geometry-optimized TaMnH4 structure at the PBE level of DFT.

Geometry as extended XYZ:
```
6
Lattice="2.898 0.000 0.000 0.000 2.898 0.000 0.000 0.000 5.521" Properties=species:S:1:pos:R:3 pbc="T T T"
Ta 0.000 0.000 0.000
Mn 0.000 0.000 2.760
H 0.000 1.449 1.405
H 0.000 1.449 4.116
H 1.449 0.000 1.405
H 1.449 0.000 4.116
```

Calculated values
The uncorrected energy comes out at -5.6281 eV per atom. For the distance to the lowest polymorph of the same formula, the calculation gives 155 meV per atom. The calculation puts the density of states at the Fermi level at 1.8 states/eV/f.u.

---

11.
Computed, not measured: a geometry-optimized TaMnTc2H structure at the PBE level of DFT.

Geometry as extended XYZ:
```
5
Lattice="4.277 0.000 0.000 0.000 4.277 0.000 0.000 0.000 3.386" Properties=species:S:1:pos:R:3 pbc="T T T"
Ta 0.000 0.000 0.000
Mn 2.138 2.138 0.000
Tc 0.000 2.138 1.693
Tc 2.138 0.000 1.693
H 2.138 2.138 1.693
```

Calculated values
The uncorrected energy comes out at -9.1220 eV per atom. The calculation puts the density of states at the Fermi level at 3.1 states/eV/f.u.

---

12.
Computed, not measured: a geometry-optimized TaTi2MnH structure at the PBE level of DFT.

Geometry as extended XYZ:
```
5
Lattice="4.370 0.000 0.000 0.000 4.370 0.000 0.000 0.000 3.361" Properties=species:S:1:pos:R:3 pbc="T T T"
Ta 0.000 0.000 0.000
Ti 0.000 2.185 1.681
Ti 2.185 0.000 1.681
Mn 2.185 2.185 0.000
H 2.185 2.185 1.681
```

Calculated values
The uncorrected energy comes out at -8.0857 eV per atom. The calculation puts the density of states at the Fermi level at 7.1 states/eV/f.u.